i) The following is a PBE calculation of a relaxed structure of Y2CoRhBr, from the Alexandria database.

a = 5.2942 Å, b = 4.3733 Å, c = 5.2942 Å
α = 90.00°, β = 90.00°, γ = 90.00°
Closest atoms and distances in Å follow each position.
Positions (direct):
Y: 0.0000 0.0000 0.5000  2 Co 2.65
Y: 0.5000 0.0000 0.0000  2 Co 2.65
Co: 0.0000 0.0000 0.0000  2 Rh 2.19
Rh: 0.0000 0.5000 0.0000  2 Co 2.19
Br: 0.5000 0.5000 0.5000  8 Y 3.43, 4 Rh 3.74

ii) The following is a PBE calculation of a relaxed structure of Y2CoRhBr, from the Alexandria database.

a = 5.2802 Å, b = 4.9829 Å, c = 5.2802 Å
α = 90.00°, β = 90.00°, γ = 90.00°
Closest atoms and distances in Å follow each position.
Positions (direct):
Y: 0.0000 0.0000 0.5000  2 Rh 2.64
Y: 0.5000 0.0000 0.0000  2 Rh 2.64
Co: 0.5000 0.5000 0.5000  8 Y 3.63, 4 Br 3.73
Rh: 0.0000 0.0000 0.0000  2 Br 2.49, 4 Y 2.64
Br: 0.0000 0.5000 0.0000  2 Rh 2.49

Verdict on stability: i) comes out on top.